1.
Entry from the Alexandria database: crystalline RbCrCl3 at its relaxed geometry (PBEsol).

```
data_RbCrCl3
_chemical_formula_sum 'Rb8 Cr8 Cl24'
_symmetry_space_group_name_H-M 'C 1 2/c 1'
_symmetry_Int_Tables_number 15
_cell_length_a 12.053
_cell_length_b 6.910
_cell_length_c 12.470
_cell_angle_alpha 90.00
_cell_angle_beta 93.63
_cell_angle_gamma 90.00
loop_
_symmetry_equiv_pos_as_xyz
'x,y,z'
'-x,-y,-z'
'-x,y,-z+1/2'
'x,-y,z+1/2'
'x+1/2,y+1/2,z'
'-x+1/2,-y+1/2,-z'
'-x+1/2,y+1/2,-z+1/2'
'x+1/2,-y+1/2,z+1/2'
loop_
_atom_site_label
_atom_site_fract_x
_atom_site_fract_y
_atom_site_fract_z
Rb1 0.167 0.021 0.371
Cr1 0.000 0.460 0.750
Cr2 0.000 0.500 0.000
Cl1 0.076 0.295 0.141
Cl2 0.084 0.225 0.646
Cl3 0.165 0.483 0.910
```

## Properties
**Total DFT energy (no corrections)**: -191.18 eV for the cell shown
**Crystal system**: monoclinic
**E_form (uncorrected)**: -1.3213 eV/atom
**Magnetic moment**: 4.00 μB per formula unit



2.
Entry from the Alexandria database: crystalline Ni3ClF at its relaxed geometry (PBEsol).

```
data_Ni3ClF
_chemical_formula_sum 'Ni3 Cl1 F1'
_symmetry_space_group_name_H-M 'P m -3 m'
_symmetry_Int_Tables_number 221
_symmetry_space_group_name_Hall '-P 4 2 3'
_cell_length_a 4.073
_cell_length_b 4.073
_cell_length_c 4.073
_cell_angle_alpha 90.00
_cell_angle_beta 90.00
_cell_angle_gamma 90.00
loop_
_atom_site_label
_atom_site_fract_x
_atom_site_fract_y
_atom_site_fract_z
Ni1 0.000 0.000 0.500
Cl1 0.000 0.000 0.000
F1 0.500 0.500 0.500
```

## Properties
**Total DFT energy (no corrections)**: -20.15 eV for the cell shown
**Crystal system**: cubic
**E_form (uncorrected)**: 0.4512 eV/atom
**Magnetic moment**: 0.73 μB per formula unit



Q: E_form (uncorrected) of number 1 (RbCrCl3)?
A: -1.3213 eV/atom